(1)
This record from Alexandria via LeMat-Bulk describes a geometry-optimized K2Ba2Na structure. The functional is GGA-PBE.

abc: 9.8051 9.8051 7.0955
angles: 90.00 90.00 90.00
Last column: nearest neighbours and their distance in Å.
Atoms (fractional coordinates):
K 0.1628 0.3372 0.0000  6 Ba 4.38-4.70, 1 K 4.51
K 0.3372 0.8372 0.0000  6 Ba 4.38-4.70, 1 K 4.51
K 0.6628 0.1628 0.0000  6 Ba 4.38-4.70, 1 K 4.51
K 0.8372 0.6628 0.0000  6 Ba 4.38-4.70, 1 K 4.51
Ba 0.1520 0.6520 0.5000  2 Na 3.72
Ba 0.3480 0.1520 0.5000  2 Na 3.72
Ba 0.6520 0.8480 0.5000  2 Na 3.72
Ba 0.8480 0.3480 0.5000  2 Na 3.72
Na 0.0000 0.0000 0.5000  4 Ba 3.72
Na 0.5000 0.5000 0.5000  4 Ba 3.72

Results
Its symmetry is P4/mbm, No. 127. As for the total energy: -0.0932 Ry/atom. Its formation enthalpy at 0 K is 0.20 eV per atom. The value obtained for the energy above the lowest structure with this stoichiometry is 0.142 eV/atom.

=====

(2)
This record from Alexandria via LeMat-Bulk describes a geometry-optimized Mg4Sc3Pd4 structure. The functional is GGA-PBE.

abc: 9.0282 9.0282 9.0282
angles: 158.68 126.78 57.98
Last column: nearest neighbours and their distance in Å.
Atoms (fractional coordinates):
Mg 0.0206 0.8337 0.1869  4 Pd 2.70-2.78, 1 Mg 3.02
Mg 0.3532 0.1663 0.1869  4 Pd 2.70-2.78, 1 Mg 3.02
Mg 0.6468 0.8337 0.8131  4 Pd 2.70-2.78, 1 Mg 3.02
Mg 0.9794 0.1663 0.8131  4 Pd 2.70-2.78, 1 Mg 3.02
Sc 0.0000 0.5000 0.5000  4 Pd 2.90
Sc 0.3995 0.3995 0.0000  6 Pd 2.76-2.85
Sc 0.6005 0.6005 0.0000  6 Pd 2.76-2.85
Pd 0.2607 0.7607 0.5000  6 Mg 2.70-2.78, 2 Sc 2.76
Pd 0.2935 0.0000 0.2935  2 Mg 2.76, 6 Sc 2.85-2.90
Pd 0.7065 0.0000 0.7065  2 Mg 2.76, 6 Sc 2.85-2.90
Pd 0.7393 0.2393 0.5000  6 Mg 2.70-2.78, 2 Sc 2.76

Results
Its symmetry is Immm, No. 71. As for the total energy: -0.3529 Ry/atom. Its formation enthalpy at 0 K is -0.61 eV per atom.

=====

(3)
This record from Alexandria via LeMat-Bulk describes a geometry-optimized TlCrCo2 structure. The functional is GGA-PBE.

abc: 5.4430 5.4430 5.4430
angles: 104.25 104.25 120.51
Last column: nearest neighbours and their distance in Å.
Atoms (fractional coordinates):
Tl 0.0000 0.0000 0.0000  2 Cr 2.70, 8 Co 2.77-2.91
Tl 0.7500 0.2500 0.5000  2 Cr 2.70, 8 Co 2.77-2.91
Cr 0.2500 0.7500 0.5000  4 Co 2.19
Cr 0.5000 0.5000 0.0000  4 Co 2.19
Co 0.1888 0.6250 0.0638  2 Cr 2.19
Co 0.3750 0.4388 0.5638  2 Cr 2.19
Co 0.5612 0.1250 0.9362  2 Cr 2.19
Co 0.8750 0.8112 0.4362  2 Cr 2.19

Results
Its symmetry is I-42d, No. 122. As for the total energy: -0.4251 Ry/atom. Its formation enthalpy at 0 K is 0.77 eV per atom. The value obtained for the energy above the lowest structure with this stoichiometry is 0.361 eV/atom.